Record 1
Material: CsTbSnO3
Method: DFT, GGA-PBE
State: optimized geometry

Results
Energy relative to the elements, uncorrected = -2.234 eV/atom
Final energy = -6.294 eV per atom
N(E_F) = 0.0 states/eV per cell

abc: 7.8558 3.5598 9.4580
angles: 90.00 97.48 90.00
Fractional positions:
Cs (0.0831, 0.2500, 0.2896)
Cs (0.9169, 0.7500, 0.7104)
Tb (0.4259, 0.7500, 0.6357)
Tb (0.5741, 0.2500, 0.3643)
Sn (0.3093, 0.2500, 0.9260)
Sn (0.6907, 0.7500, 0.0740)
O (0.2530, 0.2500, 0.6896)
O (0.3906, 0.7500, 0.3962)
O (0.4604, 0.7500, 0.8900)
O (0.5396, 0.2500, 0.1100)
O (0.6094, 0.2500, 0.6038)
O (0.7470, 0.7500, 0.3104)

=====

Record 2
Material: CsTc2SnO8
Method: DFT, GGA-PBE
State: optimized geometry

Results
Energy relative to the elements, uncorrected = -1.451 eV/atom
Final energy = -6.889 eV per atom
N(E_F) = 6.6 states/eV per cell

abc: 9.8391 9.8391 9.8391
angles: 33.10 33.10 33.10
Fractional positions:
Cs (0.0000, 0.0000, 0.0000)
Tc (0.2431, 0.2431, 0.2431)
Tc (0.7569, 0.7569, 0.7569)
Sn (0.5000, 0.5000, 0.5000)
O (0.0874, 0.4920, 0.7557)
O (0.2443, 0.5080, 0.9126)
O (0.3059, 0.3059, 0.3059)
O (0.4920, 0.7557, 0.0874)
O (0.5080, 0.9126, 0.2443)
O (0.6941, 0.6941, 0.6941)
O (0.7557, 0.0874, 0.4920)
O (0.9126, 0.2443, 0.5080)

=====

Record 3
Material: CsSn2TeO8
Method: DFT, GGA-PBE
State: optimized geometry

Results
Energy relative to the elements, uncorrected = -1.122 eV/atom
Final energy = -5.428 eV per atom

abc: 5.3094 5.3094 7.7153
angles: 108.92 108.92 70.03
Fractional positions:
Cs (0.0000, 0.0000, 0.0000)
Sn (0.4477, 0.4477, 0.7495)
Sn (0.5523, 0.5523, 0.2505)
Te (0.0000, 0.0000, 0.5000)
O (0.1728, 0.7145, 0.3031)
O (0.2287, 0.2287, 0.5221)
O (0.2855, 0.8272, 0.6969)
O (0.3614, 0.3614, 0.9642)
O (0.6386, 0.6386, 0.0358)
O (0.7145, 0.1728, 0.3031)
O (0.7713, 0.7713, 0.4779)
O (0.8272, 0.2855, 0.6969)

=====

Q: Among the records above, which one has the lowest energy relative to the elements, uncorrected?
A: CsTbSnO3

=====

Q: The lowest final energy belongs to which entry?
A: CsTc2SnO8

=====

Q: Which value of final energy does entry 2 give?
A: -6.889 eV per atom

=====

Q: Which value of energy relative to the elements, uncorrected does entry 3 give?
A: -1.122 eV/atom